The following is a PBE-GGA calculation of a geometry-optimized CdO4 structure, from Alexandria via LeMat-Bulk.

**Energy relative to the elements, uncorrected**: 1111.0 meV per atom
**E_tot**: -3.039 eV per atom
**Space group**: Pm-3m, No. 221

Lattice parameters (Å, degrees): 4.3544 4.3544 4.3544 90.00 90.00 90.00
Closest atoms and distances in Å follow each position.
Fractional positions:
O (0.5000, 0.5000, 0.0000)  2 Cd 2.18
O (0.0000, 0.5000, 0.5000)  2 Cd 2.18
O (0.5000, 0.0000, 0.5000)  2 Cd 2.18
O (0.0000, 0.0000, 0.0000)  12 O 3.08
Cd (0.5000, 0.5000, 0.5000)  6 O 2.18



The following is a PBE-GGA calculation of a geometry-optimized Ca2CrN structure, from Alexandria via LeMat-Bulk.

**Energy relative to the elements, uncorrected**: -274.7 meV per atom
**E_tot**: -5.763 eV per atom
**Space group**: I-42d, No. 122

Lattice parameters (Å, degrees): 9.8689 9.8689 7.2275 46.94 46.94 90.00
Closest atoms and distances in Å follow each position.
Fractional positions:
Ca (0.4451, 0.1250, 0.2500)  2 N 2.61
Ca (0.8750, 0.6951, 0.7500)  2 N 2.61
Ca (0.3750, 0.5549, 0.7500)  2 N 2.61
Ca (0.3049, 0.6250, 0.2500)  2 N 2.61
N (0.5000, 0.5000, 0.0000)  2 Cr 1.88
N (0.2500, 0.7500, 0.5000)  2 Cr 1.88
Cr (0.7500, 0.2500, 0.5000)  2 N 1.88
Cr (0.0000, 0.0000, 0.0000)  2 N 1.88



The following is a PBE-GGA calculation of a geometry-optimized Zn7Cu2Ag2 structure, from Alexandria via LeMat-Bulk.

**E_tot**: -2.124 eV per atom
**Space group**: C2/m, No. 12
**Energy of formation**: -0.0505 eV/atom

Lattice parameters (Å, degrees): 6.8276 4.9993 4.9993 97.17 82.55 82.55
Closest atoms and distances in Å follow each position.
Fractional positions:
Cu (0.1351, 0.6171, 0.6171)  8 Zn 2.52-2.64, 1 Cu 2.63
Cu (0.8649, 0.3829, 0.3829)  8 Zn 2.52-2.64, 1 Cu 2.63
Zn (0.0000, 0.0000, 0.0000)  2 Cu 2.52, 2 Zn 2.64
Zn (0.1841, 0.4732, 0.0978)  3 Cu 2.57-2.64, 2 Ag 2.73-2.80, 4 Zn 2.81-2.84
Zn (0.3899, 0.8589, 0.8589)  1 Cu 2.58, 4 Zn 2.62-2.82, 4 Ag 2.68-2.74
Zn (0.8159, 0.9022, 0.5268)  3 Cu 2.57-2.64, 2 Ag 2.73-2.80, 4 Zn 2.81-2.84
Zn (0.6101, 0.1411, 0.1411)  1 Cu 2.58, 4 Zn 2.62-2.82, 4 Ag 2.68-2.74
Zn (0.8159, 0.5268, 0.9022)  3 Cu 2.57-2.64, 2 Ag 2.73-2.80, 4 Zn 2.81-2.84
Zn (0.1841, 0.0978, 0.4732)  3 Cu 2.57-2.64, 2 Ag 2.73-2.80, 4 Zn 2.81-2.84
Ag (0.5000, 0.3113, 0.6887)  8 Zn 2.68-2.80, 1 Ag 2.83, 2 Cu 2.84
Ag (0.5000, 0.6887, 0.3113)  8 Zn 2.68-2.80, 1 Ag 2.83, 2 Cu 2.84



The following is a PBE-GGA calculation of a geometry-optimized CeMn6 structure, from Alexandria via LeMat-Bulk.

**Energy relative to the lowest polymorph listed for this composition**: 549.6 meV per atom
**E_tot**: -8.052 eV per atom
**Space group**: Im-3m, No. 229
**Energy of formation**: 0.6549 eV/atom

Lattice parameters (Å, degrees): 5.2638 5.2638 5.2638 109.47 109.47 109.47
Closest atoms and distances in Å follow each position.
Fractional positions:
Mn (0.7500, 0.2500, 0.5000)  4 Mn 2.15
Mn (0.2500, 0.5000, 0.7500)  4 Mn 2.15
Mn (0.5000, 0.2500, 0.7500)  4 Mn 2.15
Mn (0.2500, 0.7500, 0.5000)  4 Mn 2.15
Mn (0.7500, 0.5000, 0.2500)  4 Mn 2.15
Mn (0.5000, 0.7500, 0.2500)  4 Mn 2.15
Ce (0.0000, 0.0000, 0.0000)  24 Mn 3.40



The following is a PBE-GGA calculation of a geometry-optimized Pm2Ho4N structure, from Alexandria via LeMat-Bulk.

**Energy relative to the elements, uncorrected**: -294.1 meV per atom
**E_tot**: -5.457 eV per atom
**Space group**: I4/mmm, No. 139

Lattice parameters (Å, degrees): 4.7692 4.7692 9.5163 75.49 75.49 90.00
Closest atoms and distances in Å follow each position.
Fractional positions:
Ho (0.5000, 0.0000, 0.0000)  2 N 2.38
Ho (0.1308, 0.1308, 0.7385)  1 N 2.33
Ho (0.8692, 0.8692, 0.2615)  1 N 2.33
Ho (0.0000, 0.5000, 0.0000)  2 N 2.38
Pm (0.6730, 0.6730, 0.6540)  5 Ho 3.46-3.49
Pm (0.3270, 0.3270, 0.3460)  5 Ho 3.46-3.49
N (0.0000, 0.0000, 0.0000)  6 Ho 2.33-2.38



The following is a PBE-GGA calculation of a geometry-optimized BaHf4 structure, from Alexandria via LeMat-Bulk.

**E_tot**: -6.351 eV per atom
**Space group**: Pm-3m, No. 221
**Energy of formation**: 1.9967 eV/atom

Lattice parameters (Å, degrees): 5.2171 5.2171 5.2171 90.00 90.00 90.00
Closest atoms and distances in Å follow each position.
Fractional positions:
Hf (0.0000, 0.5000, 0.5000)  2 Ba 2.61
Hf (0.5000, 0.5000, 0.0000)  2 Ba 2.61
Hf (0.0000, 0.0000, 0.0000)  12 Hf 3.69
Hf (0.5000, 0.0000, 0.5000)  2 Ba 2.61
Ba (0.5000, 0.5000, 0.5000)  6 Hf 2.61



The following is a PBE-GGA calculation of a geometry-optimized Dy3YSc2 structure, from Alexandria via LeMat-Bulk.

**Energy relative to the lowest polymorph listed for this composition**: 0.0 meV per atom
**E_tot**: -5.336 eV per atom
**Space group**: C2/m, No. 12
**Energy of formation**: 0.1526 eV/atom

Lattice parameters (Å, degrees): 3.3817 9.8829 11.4225 107.66 98.51 90.00
Closest atoms and distances in Å follow each position.
Fractional positions:
Sc (0.3081, 0.6269, 0.6163)  1 Y 3.21, 4 Dy 3.22-3.31, 6 Sc 3.38-3.47
Sc (0.0711, 0.1397, 0.1422)  5 Sc 3.38-3.54, 2 Y 3.43, 4 Dy 3.44-3.63
Sc (0.9289, 0.8603, 0.8578)  5 Sc 3.38-3.54, 2 Y 3.43, 4 Dy 3.44-3.63
Sc (0.6919, 0.3731, 0.3837)  1 Y 3.21, 4 Dy 3.22-3.31, 6 Sc 3.38-3.47
Dy (0.5600, 0.4338, 0.1199)  3 Sc 3.22-3.44, 6 Dy 3.35-3.44
Dy (0.6974, 0.7078, 0.3947)  3 Sc 3.27-3.31, 5 Dy 3.38-3.58, 3 Y 3.42-3.47
Dy (0.4400, 0.5662, 0.8801)  3 Sc 3.22-3.44, 6 Dy 3.35-3.44
Dy (0.0685, 0.7709, 0.1370)  8 Dy 3.38-3.69, 2 Sc 3.53-3.63, 2 Y 3.55
Dy (0.9315, 0.2291, 0.8630)  8 Dy 3.38-3.69, 2 Sc 3.53-3.63, 2 Y 3.55
Dy (0.3026, 0.2922, 0.6053)  3 Sc 3.27-3.31, 5 Dy 3.38-3.58, 3 Y 3.42-3.47
Y (0.3158, 0.9564, 0.6316)  3 Sc 3.21-3.43, 2 Y 3.38, 5 Dy 3.42-3.55
Y (0.6842, 0.0436, 0.3684)  3 Sc 3.21-3.43, 2 Y 3.38, 5 Dy 3.42-3.55



The following is a PBE-GGA calculation of a geometry-optimized ZnRe2Ag structure, from Alexandria via LeMat-Bulk.

**E_tot**: -6.770 eV per atom
**Space group**: R-3m, No. 166
**Energy of formation**: 0.4858 eV/atom

Lattice parameters (Å, degrees): 9.4706 9.4706 9.4706 16.76 16.76 16.76
Closest atoms and distances in Å follow each position.
Fractional positions:
Re (0.5039, 0.5039, 0.5039)  3 Zn 2.74, 6 Re 2.76, 3 Ag 2.92
Re (0.9961, 0.9961, 0.9961)  3 Zn 2.74, 6 Re 2.76, 3 Ag 2.92
Zn (0.2500, 0.2500, 0.2500)  6 Re 2.74, 6 Zn 2.76
Ag (0.7500, 0.7500, 0.7500)  6 Ag 2.76, 6 Re 2.92



The following is a PBE-GGA calculation of a geometry-optimized AgBrCl4 structure, from Alexandria via LeMat-Bulk.

**Energy relative to the lowest polymorph listed for this composition**: 719.9 meV per atom
**Energy relative to the elements, uncorrected**: 616.9 meV per atom
**E_tot**: -1.368 eV per atom
**Space group**: F-43m, No. 216

Lattice parameters (Å, degrees): 5.8520 5.8520 5.8520 60.00 60.00 60.00
Closest atoms and distances in Å follow each position.
Fractional positions:
Cl (0.3753, 0.3753, 0.3753)  6 Cl 2.92-2.93
Cl (0.3753, 0.3753, 0.8742)  6 Cl 2.92-2.93
Cl (0.8742, 0.3753, 0.3753)  6 Cl 2.92-2.93
Cl (0.3753, 0.8742, 0.3753)  6 Cl 2.92-2.93
Ag (0.7500, 0.7500, 0.7500)  12 Cl 3.43, 4 Br 3.58
Br (0.0000, 0.0000, 0.0000)  12 Cl 3.43, 4 Ag 3.58



The following is a PBE-GGA calculation of a geometry-optimized Pu2MgTl8 structure, from Alexandria via LeMat-Bulk.

**E_tot**: -4.487 eV per atom
**Space group**: P4/mmm, No. 123
**Energy of formation**: -0.0156 eV/atom

Lattice parameters (Å, degrees): 5.0000 5.0000 12.3109 90.00 90.00 90.00
Closest atoms and distances in Å follow each position.
Fractional positions:
Mg (0.0000, 0.0000, 0.0000)  8 Tl 3.01
Pu (0.0000, 0.0000, 0.6860)  12 Tl 3.32-3.54
Pu (0.0000, 0.0000, 0.3140)  12 Tl 3.32-3.54
Tl (0.0000, 0.5000, 0.1360)  2 Mg 3.01, 2 Pu 3.32, 3 Tl 3.33-3.35
Tl (0.5000, 0.0000, 0.1360)  2 Mg 3.01, 2 Pu 3.32, 3 Tl 3.33-3.35
Tl (0.5000, 0.5000, 0.3144)  8 Tl 3.33-3.39, 4 Pu 3.54
Tl (0.5000, 0.0000, 0.5000)  8 Tl 3.39-3.54, 4 Pu 3.39
Tl (0.5000, 0.5000, 0.6856)  8 Tl 3.33-3.39, 4 Pu 3.54
Tl (0.0000, 0.5000, 0.8640)  2 Mg 3.01, 2 Pu 3.32, 3 Tl 3.33-3.35
Tl (0.5000, 0.0000, 0.8640)  2 Mg 3.01, 2 Pu 3.32, 3 Tl 3.33-3.35
Tl (0.0000, 0.5000, 0.5000)  8 Tl 3.39-3.54, 4 Pu 3.39



Question: E_tot of number 6 (BaHf4)?
Answer: -6.351 eV per atom



Question: Number 5 is which compound?
Answer: Pm2Ho4N



Question: E_tot of number 1 (CdO4)?
Answer: -3.039 eV per atom